Here is crystalline Sr2HgF at its relaxed geometry from Alexandria. Energies are from PBE.

The final energy comes out at -40.70 eV/cell. The value obtained for the energy above the most stable polymorph in this dataset is 419 meV per atom. The energy relative to the elements, uncorrected is -4.64 eV/f.u.

The structure in CIF format:
```
data_Sr2HgF
_chemical_formula_sum 'Sr8 Hg4 F4'
_cell_length_a 7.7962
_cell_length_b 7.7962
_cell_length_c 7.7962
_cell_angle_alpha 90.00
_cell_angle_beta 90.00
_cell_angle_gamma 90.00
_space_group_name_H-M_alt 'F m -3 m'
_space_group_IT_number 225
_space_group_name_Hall '-F 4 2 3'
loop_
_atom_site_label
_atom_site_type_symbol
_atom_site_fract_x
_atom_site_fract_y
_atom_site_fract_z
Sr1 Sr 0.2500 0.2500 0.2500
Hg1 Hg 0.0000 0.0000 0.0000
F1 F 0.0000 0.0000 0.5000
```